No. 1
Density functional theory data (GGA-PBE) for crystalline CdSnO3 at its relaxed geometry.

Properties
Total magnetic moment ... 0.000 μB per atom
SG ... Pm-3m, No. 221
Total DFT energy (no corrections) ... -4.175 eV per atom
Energy relative to the elements, uncorrected ... -1.083 eV per formula unit

Unit cell a=4.1151 b=4.1151 c=4.1151 alpha=90.00 beta=90.00 gamma=90.00
Sites, in units of the cell vectors:
Sn: 0.5000 0.5000 0.5000
O: 0.0000 0.0000 0.5000
O: 0.5000 0.0000 0.0000
O: 0.0000 0.5000 0.0000
Cd: 0.0000 0.0000 0.0000



No. 2
Density functional theory data (GGA-PBE) for crystalline CdSnO3 at its relaxed geometry.

Properties
Total magnetic moment ... 0.000 μB per atom
SG ... P-6, No. 174
Total DFT energy (no corrections) ... -5.099 eV per atom
Energy relative to the elements, uncorrected ... -5.701 eV per formula unit

Unit cell a=2.9086 b=5.8842 c=5.8863 alpha=60.02 beta=89.99 gamma=89.99
Sites, in units of the cell vectors:
O: 0.7204 0.2539 0.7576
O: 0.7201 0.2496 0.2167
O: 0.7202 0.7948 0.2121
Cd: 0.2199 0.4328 0.3956
Sn: 0.2203 0.0995 0.0621



No. 3
Density functional theory data (GGA-PBE) for crystalline Cd2Sn2O at its relaxed geometry.

Properties
Total magnetic moment ... 0.000 μB per atom
SG ... P4/mbm, No. 127
Total DFT energy (no corrections) ... -3.047 eV per atom
Energy relative to the elements, uncorrected ... -0.439 eV per formula unit

Unit cell a=6.1524 b=6.1524 c=6.0818 alpha=90.00 beta=90.00 gamma=90.00
Sites, in units of the cell vectors:
Sn: 0.8146 0.3146 0.5000
Sn: 0.3146 0.1854 0.5000
Sn: 0.1854 0.6854 0.5000
Sn: 0.6854 0.8146 0.5000
Cd: 0.1654 0.3346 0.0000
Cd: 0.3346 0.8346 0.0000
Cd: 0.6654 0.1654 0.0000
Cd: 0.8346 0.6654 0.0000
O: 0.0000 0.0000 0.0000
O: 0.5000 0.5000 0.0000



No. 4
Density functional theory data (GGA-PBE) for crystalline Cd6SnO8 at its relaxed geometry.

Properties
Total magnetic moment ... 0.000 μB per atom
SG ... Fm-3m, No. 225
Total DFT energy (no corrections) ... -4.436 eV per atom
Energy relative to the elements, uncorrected ... -17.374 eV per formula unit

Unit cell a=6.7318 b=6.7318 c=6.7318 alpha=60.00 beta=60.00 gamma=60.00
Sites, in units of the cell vectors:
Cd: 0.5000 0.0000 0.5000
Cd: 0.5000 0.5000 0.0000
Cd: 0.0000 0.5000 0.0000
Cd: 0.0000 0.5000 0.5000
Cd: 0.5000 0.0000 0.0000
Cd: 0.0000 0.0000 0.5000
O: 0.7500 0.7500 0.7500
O: 0.2221 0.2221 0.7779
O: 0.7779 0.7779 0.2221
O: 0.2221 0.7779 0.2221
O: 0.7779 0.2221 0.2221
O: 0.2500 0.2500 0.2500
O: 0.7779 0.2221 0.7779
O: 0.2221 0.7779 0.7779
Sn: 0.0000 0.0000 0.0000



No. 5
Density functional theory data (GGA-PBE) for crystalline Cd2SnO4 at its relaxed geometry.

Properties
Total magnetic moment ... 0.000 μB per atom
SG ... P4_122, No. 91
Total DFT energy (no corrections) ... -5.007 eV per atom
Energy relative to the elements, uncorrected ... -9.383 eV per formula unit

Unit cell a=6.6514 b=6.6514 c=9.2448 alpha=90.00 beta=90.00 gamma=90.00
Sites, in units of the cell vectors:
O: 0.2266 0.5360 0.4967
O: 0.7735 0.0216 0.0210
O: 0.5360 0.2266 0.2533
O: 0.0216 0.7735 0.7290
O: 0.9784 0.2265 0.2290
O: 0.7735 0.9784 0.4790
O: 0.2265 0.9784 0.5210
O: 0.2265 0.0216 0.9790
O: 0.7734 0.5360 0.5033
O: 0.5360 0.7734 0.2467
O: 0.4640 0.7734 0.7533
O: 0.2266 0.4640 0.0033
O: 0.4640 0.2266 0.7467
O: 0.9784 0.7735 0.2710
O: 0.7734 0.4640 0.9967
O: 0.0216 0.2265 0.7710
Sn: 0.0000 0.7504 0.5000
Sn: 0.0000 0.2496 0.0000
Sn: 0.2496 0.0000 0.7500
Sn: 0.7504 0.0000 0.2500
Cd: 0.2539 0.5000 0.7500
Cd: 0.2488 0.7512 0.1250
Cd: 0.7461 0.5000 0.2500
Cd: 0.7512 0.7512 0.8750
Cd: 0.5000 0.2539 0.0000
Cd: 0.2488 0.2488 0.3750
Cd: 0.7512 0.2488 0.6250
Cd: 0.5000 0.7461 0.5000



No. 6
Density functional theory data (GGA-PBE) for crystalline CdSnO2 at its relaxed geometry.

Properties
Total magnetic moment ... 0.000 μB per atom
SG ... R-3m, No. 166
Total DFT energy (no corrections) ... -4.551 eV per atom
Energy relative to the elements, uncorrected ... -3.371 eV per formula unit

Unit cell a=6.8094 b=6.8094 c=6.8094 alpha=28.43 beta=28.43 gamma=28.43
Sites, in units of the cell vectors:
Cd: 0.5000 0.5000 0.5000
O: 0.8966 0.8966 0.8966
O: 0.1034 0.1034 0.1034
Sn: 0.0000 0.0000 0.0000



No. 7
Density functional theory data (GGA-PBE) for crystalline CdSn2O at its relaxed geometry.

Properties
Total magnetic moment ... 0.000 μB per atom
SG ... I-42d, No. 122
Total DFT energy (no corrections) ... -3.775 eV per atom
Energy relative to the elements, uncorrected ... -1.220 eV per formula unit

Unit cell a=5.4836 b=5.4836 c=7.7327 alpha=69.23 beta=69.23 gamma=90.00
Sites, in units of the cell vectors:
Sn: 0.8750 0.7665 0.7500
Sn: 0.5165 0.1250 0.2500
Sn: 0.3750 0.4835 0.7500
Sn: 0.2335 0.6250 0.2500
O: 0.5000 0.5000 0.0000
O: 0.2500 0.7500 0.5000
Cd: 0.0000 0.0000 0.0000
Cd: 0.7500 0.2500 0.5000



No. 8
Density functional theory data (GGA-PBE) for crystalline Cd2SnO4 at its relaxed geometry.

Properties
Total magnetic moment ... 0.000 μB per atom
SG ... Imma, No. 74
Total DFT energy (no corrections) ... -4.987 eV per atom
Energy relative to the elements, uncorrected ... -9.244 eV per formula unit

Unit cell a=6.6600 b=6.6600 c=6.6600 alpha=121.30 beta=120.88 gamma=88.12
Sites, in units of the cell vectors:
Cd: 0.1102 0.8602 0.2500
Cd: 0.8898 0.1398 0.7500
Cd: 0.5000 0.5000 0.5000
Cd: 0.5000 0.0000 0.0000
O: 0.7503 0.7168 0.4665
O: 0.2497 0.7161 0.9665
O: 0.7728 0.2845 0.4883
O: 0.2497 0.2832 0.5335
O: 0.7503 0.2839 0.0335
O: 0.7039 0.7155 0.9883
O: 0.2961 0.2845 0.0117
O: 0.2272 0.7155 0.5117
Sn: 0.5000 0.5000 0.0000
Sn: 0.0000 0.5000 0.5000



No. 9
Density functional theory data (GGA-PBE) for crystalline CdSnO3 at its relaxed geometry.

Properties
Total magnetic moment ... 0.000 μB per atom
SG ... Pm-3m, No. 221
Total DFT energy (no corrections) ... -5.035 eV per atom
Energy relative to the elements, uncorrected ... -5.381 eV per formula unit

Unit cell a=4.0197 b=4.0197 c=4.0197 alpha=90.00 beta=90.00 gamma=90.00
Sites, in units of the cell vectors:
O: 0.0000 0.0000 0.5000
O: 0.0000 0.5000 0.0000
O: 0.5000 0.0000 0.0000
Sn: 0.0000 0.0000 0.0000
Cd: 0.5000 0.5000 0.5000



No. 10
Density functional theory data (GGA-PBE) for crystalline CdSn2O at its relaxed geometry.

Properties
Total magnetic moment ... 0.000 μB per atom
SG ... Fm-3m, No. 225
Total DFT energy (no corrections) ... -3.336 eV per atom
Energy relative to the elements, uncorrected ... 0.534 eV per formula unit

Unit cell a=4.8825 b=4.8825 c=4.8825 alpha=60.00 beta=60.00 gamma=60.00
Sites, in units of the cell vectors:
Sn: 0.2500 0.2500 0.2500
Sn: 0.7500 0.7500 0.7500
Cd: 0.5000 0.5000 0.5000
O: 0.0000 0.0000 0.0000



No. 11
Density functional theory data (GGA-PBE) for crystalline CdSnO2 at its relaxed geometry.

Properties
Total magnetic moment ... 0.000 μB per atom
SG ... Fm-3m, No. 225
Total DFT energy (no corrections) ... -4.202 eV per atom
Energy relative to the elements, uncorrected ... -1.973 eV per formula unit

Unit cell a=4.3158 b=4.3158 c=4.3158 alpha=60.00 beta=60.00 gamma=60.00
Sites, in units of the cell vectors:
O: 0.7500 0.7500 0.7500
O: 0.2500 0.2500 0.2500
Sn: 0.5000 0.5000 0.5000
Cd: 0.0000 0.0000 0.0000



No. 12
Density functional theory data (GGA-PBE) for crystalline Cd2SnO4 at its relaxed geometry.

Properties
Total magnetic moment ... 0.000 μB per atom
SG ... Pbam, No. 55
Total DFT energy (no corrections) ... -4.987 eV per atom
Energy relative to the elements, uncorrected ... -9.246 eV per formula unit

Unit cell a=3.2456 b=5.6615 c=10.1338 alpha=90.00 beta=90.00 gamma=90.00
Sites, in units of the cell vectors:
O: 0.0000 0.3656 0.3081
O: 0.5000 0.2353 0.0390
O: 0.0000 0.8656 0.1919
O: 0.5000 0.7647 0.9610
O: 0.5000 0.7353 0.4610
O: 0.5000 0.2647 0.5390
O: 0.0000 0.1344 0.8081
O: 0.0000 0.6344 0.6919
Cd: 0.5000 0.9403 0.6762
Cd: 0.5000 0.5597 0.1762
Cd: 0.5000 0.0597 0.3238
Cd: 0.5000 0.4403 0.8238
Sn: 0.0000 0.5000 0.5000
Sn: 0.0000 0.0000 0.0000



No. 13
Density functional theory data (GGA-PBE) for crystalline CdSnO3 at its relaxed geometry.

Properties
Total magnetic moment ... 0.000 μB per atom
SG ... Pnma, No. 62
Total DFT energy (no corrections) ... -5.357 eV per atom
Energy relative to the elements, uncorrected ... -6.990 eV per formula unit

Unit cell a=5.5546 b=5.6774 c=8.0399 alpha=90.00 beta=90.00 gamma=90.00
Sites, in units of the cell vectors:
Cd: 0.9884 0.0454 0.2500
Cd: 0.4884 0.4546 0.7500
Cd: 0.0116 0.9546 0.7500
Cd: 0.5116 0.5454 0.2500
Sn: 0.5000 0.0000 0.5000
Sn: 0.0000 0.5000 0.0000
Sn: 0.0000 0.5000 0.5000
Sn: 0.5000 0.0000 0.0000
O: 0.6947 0.3018 0.4388
O: 0.8865 0.5524 0.7500
O: 0.1947 0.1982 0.9388
O: 0.8053 0.8018 0.0612
O: 0.1947 0.1982 0.5612
O: 0.6947 0.3018 0.0612
O: 0.6135 0.0524 0.7500
O: 0.3053 0.6982 0.9388
O: 0.3865 0.9476 0.2500
O: 0.8053 0.8018 0.4388
O: 0.3053 0.6982 0.5612
O: 0.1135 0.4476 0.2500



No. 14
Density functional theory data (GGA-PBE) for crystalline CdSnO2 at its relaxed geometry.

Properties
Total magnetic moment ... 0.000 μB per atom
SG ... R-3m, No. 166
Total DFT energy (no corrections) ... -4.796 eV per atom
Energy relative to the elements, uncorrected ... -4.348 eV per formula unit

Unit cell a=8.2073 b=8.2073 c=8.2073 alpha=22.71 beta=22.71 gamma=22.71
Sites, in units of the cell vectors:
O: 0.1230 0.1230 0.1230
O: 0.8770 0.8770 0.8770
Sn: 0.5000 0.5000 0.5000
Cd: 0.0000 0.0000 0.0000



No. 15
Density functional theory data (GGA-PBE) for crystalline Cd2Sn2O at its relaxed geometry.

Properties
Total magnetic moment ... 0.000 μB per atom
SG ... I4/mmm, No. 139
Total DFT energy (no corrections) ... -2.576 eV per atom
Energy relative to the elements, uncorrected ... 1.912 eV per formula unit

Unit cell a=3.9838 b=3.9838 c=8.4566 alpha=76.38 beta=76.38 gamma=90.00
Sites, in units of the cell vectors:
Cd: 0.4155 0.4155 0.1690
Cd: 0.5845 0.5845 0.8310
Sn: 0.2500 0.7500 0.5000
Sn: 0.7500 0.2500 0.5000
O: 0.0000 0.0000 0.0000



No. 16
Density functional theory data (GGA-PBE) for crystalline CdSnO3 at its relaxed geometry.

Properties
Total magnetic moment ... 0.000 μB per atom
SG ... P-6c2, No. 188
Total DFT energy (no corrections) ... -5.113 eV per atom
Energy relative to the elements, uncorrected ... -5.774 eV per formula unit

Unit cell a=5.7557 b=5.7812 c=5.7812 alpha=120.00 beta=90.00 gamma=90.00
Sites, in units of the cell vectors:
Cd: 0.5000 0.6667 0.3333
Cd: 0.0000 0.6667 0.3333
O: 0.2500 0.3016 0.0762
O: 0.7500 0.9238 0.6984
O: 0.2500 0.7746 0.6984
O: 0.7500 0.7746 0.0762
O: 0.2500 0.9238 0.2254
O: 0.7500 0.3016 0.2254
Sn: 0.5000 0.0000 0.0000
Sn: 0.0000 0.0000 0.0000



No. 17
Density functional theory data (GGA-PBE) for crystalline CdSnO2 at its relaxed geometry.

Properties
Total magnetic moment ... 0.000 μB per atom
SG ... I-42d, No. 122
Total DFT energy (no corrections) ... -4.660 eV per atom
Energy relative to the elements, uncorrected ... -3.806 eV per formula unit

Unit cell a=5.2284 b=5.2284 c=6.5398 alpha=66.44 beta=66.44 gamma=90.00
Sites, in units of the cell vectors:
Cd: 0.5000 0.5000 0.0000
Cd: 0.2500 0.7500 0.5000
O: 0.6168 0.1250 0.2500
O: 0.8750 0.8668 0.7500
O: 0.1332 0.6250 0.2500
O: 0.3750 0.3832 0.7500
Sn: 0.0000 0.0000 0.0000
Sn: 0.7500 0.2500 0.5000



No. 18
Density functional theory data (GGA-PBE) for crystalline CdSnO3 at its relaxed geometry.

Properties
Total magnetic moment ... 0.000 μB per atom
SG ... P2_1/m, No. 11
Total DFT energy (no corrections) ... -5.317 eV per atom
Energy relative to the elements, uncorrected ... -6.792 eV per formula unit

Unit cell a=3.3029 b=5.9136 c=8.6825 alpha=67.91 beta=90.00 gamma=90.00
Sites, in units of the cell vectors:
O: 0.7500 0.4461 0.3745
O: 0.2500 0.5539 0.6255
O: 0.7500 0.3937 0.9195
O: 0.2500 0.6063 0.0805
O: 0.2500 0.1103 0.2421
O: 0.7500 0.8897 0.7579
Cd: 0.7500 0.2820 0.6632
Cd: 0.2500 0.7180 0.3368
Sn: 0.7500 0.3467 0.1734
Sn: 0.2500 0.6533 0.8266



No. 19
Density functional theory data (GGA-PBE) for crystalline Sr4CdSn3O12 at its relaxed geometry.

Properties
Total magnetic moment ... 0.023 μB per atom
SG ... Im-3m, No. 229
Total DFT energy (no corrections) ... -5.859 eV per atom
Energy relative to the elements, uncorrected ... -38.025 eV per formula unit

Unit cell a=7.2194 b=7.2194 c=7.2194 alpha=109.47 beta=109.47 gamma=109.47
Sites, in units of the cell vectors:
Sn: 0.5000 0.0000 0.5000
Sn: 0.0000 0.5000 0.5000
Sn: 0.5000 0.5000 0.0000
O: 0.0000 0.2606 0.2606
O: 0.2606 0.2606 0.0000
O: 0.0000 0.7394 0.7394
O: 0.2500 0.7500 0.5000
O: 0.7500 0.5000 0.2500
O: 0.2500 0.5000 0.7500
O: 0.7394 0.0000 0.7394
O: 0.5000 0.2500 0.7500
O: 0.5000 0.7500 0.2500
O: 0.7394 0.7394 0.0000
O: 0.7500 0.2500 0.5000
O: 0.2606 0.0000 0.2606
Sr: 0.5000 0.5000 0.5000
Sr: 0.0000 0.5000 0.0000
Sr: 0.0000 0.0000 0.5000
Sr: 0.5000 0.0000 0.0000
Cd: 0.0000 0.0000 0.0000



No. 20
Density functional theory data (GGA-PBE) for crystalline Sr2Cd2SnO6 at its relaxed geometry.

Properties
Total magnetic moment ... 0.000 μB per atom
SG ... R-3m, No. 166
Total DFT energy (no corrections) ... -5.161 eV per atom
Energy relative to the elements, uncorrected ... -17.829 eV per formula unit

Unit cell a=6.3278 b=6.3278 c=6.6382 alpha=61.53 beta=61.53 gamma=60.00
Sites, in units of the cell vectors:
Sn: 0.0000 0.0000 0.0000
O: 0.2021 0.7725 0.2530
O: 0.2275 0.7979 0.7470
O: 0.2275 0.2275 0.7470
O: 0.7979 0.2275 0.7470
O: 0.7725 0.7725 0.2530
O: 0.7725 0.2021 0.2530
Sr: 0.1981 0.1981 0.4057
Sr: 0.8019 0.8019 0.5943
Cd: 0.5936 0.5936 0.2191
Cd: 0.4064 0.4064 0.7809